Crystalline Pu6PaAu5 at its relaxed geometry, computed with PBE.

SG   Immm (71)
Formation energy   -0.276 eV per atom

Lattice parameters (Å, degrees): 5.3259 6.6366 9.1075 111.36 107.00 90.00
With the nearest neighbours (Å) after each atom.
Atoms (fractional coordinates):
Pu1 0.1713 0.4280 0.3418  7 Au 3.11-3.24, 2 Pu 3.22-3.41, 1 Pa 3.24
Au1 0.3326 0.3331 0.6661  8 Pu 3.11-3.12, 2 Au 3.32
Pu2 0.5000 0.7361 0.0000  6 Au 3.04-3.11, 1 Pu 3.13, 2 Pa 3.19
Au2 0.6674 0.6669 0.3339  8 Pu 3.11-3.12, 2 Au 3.32
Pu3 0.5000 0.2639 0.0000  6 Au 3.04-3.11, 1 Pu 3.13, 2 Pa 3.19
Au3 0.3450 0.8454 0.6908  8 Pu 3.04-3.24, 2 Au 3.32
Pu4 0.1713 0.9138 0.3417  7 Au 3.11-3.24, 2 Pu 3.22-3.41, 1 Pa 3.24
Pu5 0.8287 0.0862 0.6583  7 Au 3.11-3.24, 2 Pu 3.22-3.41, 1 Pa 3.24
Pa1 0.0000 0.0000 0.0000  8 Pu 3.19-3.24, 2 Au 3.32
Au4 0.6550 0.1546 0.3092  8 Pu 3.04-3.24, 2 Au 3.32
Pu6 0.8287 0.5720 0.6582  7 Au 3.11-3.24, 2 Pu 3.22-3.41, 1 Pa 3.24
Au5 0.0000 0.5000 0.0000  8 Pu 3.09-3.19, 2 Pa 3.32

***

Crystalline PmY3Sb2 at its relaxed geometry, computed with PBE.

SG   P-4m2 (115)
Raw formation energy   -816 meV per atom
Excess energy over the best structure of this formula in the dataset   0.00 eV per formula unit

Lattice parameters (Å, degrees): 4.5088 4.5088 8.5495 90.00 90.00 90.00
With the nearest neighbours (Å) after each atom.
Atoms (fractional coordinates):
Pm1 0.5000 0.5000 0.0000  4 Y 3.19, 4 Sb 3.31
Y1 0.0000 0.0000 0.0000  4 Pm 3.19, 4 Sb 3.31
Y2 0.0000 0.5000 0.6474  5 Sb 3.12-3.24
Sb1 0.5000 0.0000 0.7173  7 Y 3.12-3.31, 2 Pm 3.31
Sb2 0.0000 0.5000 0.2827  7 Y 3.12-3.31, 2 Pm 3.31
Y3 0.5000 0.0000 0.3526  5 Sb 3.12-3.24

***

Crystalline Nd4BSeCl2 at its relaxed geometry, computed with PBE.

SG   P2/m (10)
Raw formation energy   -1303 meV per atom

Lattice parameters (Å, degrees): 4.0466 7.3212 7.2334 108.70 90.00 90.00
With the nearest neighbours (Å) after each atom.
Atoms (fractional coordinates):
Nd1 0.0000 0.7093 0.2091  2 B 2.69, 1 Cl 2.97, 1 Se 2.98
Nd2 0.0000 0.2907 0.7909  2 B 2.69, 1 Cl 2.97, 1 Se 2.98
B1 0.5000 0.5000 0.0000  6 Nd 2.63-2.69
Se1 0.0000 0.0000 0.0000  6 Nd 2.94-2.98
Cl1 0.0000 0.5000 0.5000  6 Nd 2.96-2.97
Cl2 0.5000 0.0000 0.5000  6 Nd 3.19-3.29
Nd3 0.5000 0.7239 0.7796  1 B 2.63, 2 Se 2.94
Nd4 0.5000 0.2761 0.2204  1 B 2.63, 2 Se 2.94

***

Crystalline Rb2AcThTe4 at its relaxed geometry, computed with PBE.

SG   P2/m (10)
Raw formation energy   -1306 meV per atom

Lattice parameters (Å, degrees): 4.6764 8.1673 9.0753 107.18 90.00 90.00
With the nearest neighbours (Å) after each atom.
Atoms (fractional coordinates):
Te1 0.5000 0.2233 0.2084  2 Th 3.21, 1 Ac 3.35
Ac1 0.5000 0.5000 0.0000  6 Te 3.34-3.35
Te2 0.5000 0.7767 0.7916  2 Th 3.21, 1 Ac 3.35
Rb1 0.0000 0.5000 0.5000  6 Te 3.75-3.76
Te3 0.0000 0.2473 0.7857  1 Th 3.19, 2 Ac 3.34
Te4 0.0000 0.7527 0.2143  1 Th 3.19, 2 Ac 3.34
Rb2 0.5000 0.0000 0.5000  6 Te 3.63
Th1 0.0000 0.0000 0.0000  6 Te 3.19-3.21